# 1
This record from Alexandria via LeMat-Bulk describes a relaxed Ca2CuNi crystal. The functional is PBE-GGA.

It has space group P4mm (No. 99), with a = 3.401 Å, b = 3.401 Å, c = 7.890 Å, α = 90.00°, β = 90.00° and γ = 90.00°. The inequivalent atoms are Ca at (0.000, 0.000, 0.000), Ca at (0.500, 0.500, 0.412), Cu at (0.000, 0.000, 0.651) and Ni at (0.500, 0.500, 0.761).

The energy of formation from the pure elements comes out at 0.25 eV per formula unit.



# 2
This record from Alexandria via LeMat-Bulk describes a relaxed Ca8Cu2Ni crystal. The functional is PBE-GGA.

It has space group C2/m (No. 12), with a = 13.219 Å, b = 7.424 Å, c = 7.567 Å, α = 90.00°, β = 90.25° and γ = 90.00°. The inequivalent atoms are Ca at (0.042, 0.250, 0.250), Ca at (0.203, 0.000, 0.610), Ca at (0.206, 0.500, 0.893), Cu at (0.090, 0.000, 0.950) and Ni at (0.000, 0.000, 0.500).

The energy of formation from the pure elements comes out at -0.21 eV per formula unit.



# 3
This record from Alexandria via LeMat-Bulk describes a relaxed CaCuNi2 crystal. The functional is PBE-GGA.

It has space group Fm-3m (No. 225), with a = 6.193 Å, b = 6.193 Å, c = 6.193 Å, α = 90.00°, β = 90.00° and γ = 90.00°. The inequivalent atoms are Ca at (0.000, 0.000, 0.000), Cu at (0.000, 0.000, 0.500) and Ni at (0.250, 0.250, 0.250).

The energy of formation from the pure elements comes out at 0.67 eV per formula unit.



# 4
This record from Alexandria via LeMat-Bulk describes a relaxed Ca3Cu8Ni crystal. The functional is PBE-GGA.

It has space group R3m (No. 160, hexagonal axes), with a = 5.1462 Å, b = 5.1462 Å, c = 25.2495 Å, α = 90.00°, β = 90.00° and γ = 120.00°. The inequivalent atoms are Ca at (0.0000, 0.0000, 0.0000), Ca at (0.0000, 0.0000, 0.1303), Ca at (0.0000, 0.0000, 0.6098), Cu at (0.0000, 0.0000, 0.3109), Cu at (0.0000, 0.0000, 0.8116), Cu at (0.0041, 0.5021, 0.0642), Cu at (0.0038, 0.5019, 0.5588) and Ni at (0.0000, 0.0000, 0.4858).

The energy of formation from the pure elements comes out at -0.52 eV per formula unit.



# 5
This record from Alexandria via LeMat-Bulk describes a relaxed CaCuNi2 crystal. The functional is PBE-GGA.

It has space group Pmmm (No. 47), with a = 2.966 Å, b = 3.304 Å, c = 6.214 Å, α = 90.00°, β = 90.00° and γ = 90.00°. The inequivalent atoms are Ca at (0.000, 0.000, 0.000), Cu at (0.000, 0.000, 0.500) and Ni at (0.500, 0.500, 0.308).

The energy of formation from the pure elements comes out at 0.52 eV per formula unit.



# 6
This record from Alexandria via LeMat-Bulk describes a relaxed CaCuNi2 crystal. The functional is PBE-GGA.

It has space group C2/m (No. 12), with a = 5.557 Å, b = 7.115 Å, c = 2.921 Å, α = 90.00°, β = 94.54° and γ = 90.00°. The inequivalent atoms are Ca at (0.000, 0.000, 0.000), Cu at (0.000, 0.500, 0.000) and Ni at (0.250, 0.250, 0.500).

The energy of formation from the pure elements comes out at 0.94 eV per formula unit.



# 7
This record from Alexandria via LeMat-Bulk describes a relaxed CaCu6Ni4 crystal. The functional is PBE-GGA.

It has space group I-42m (No. 121), with a = 6.087 Å, b = 6.087 Å, c = 8.707 Å, α = 90.00°, β = 90.00° and γ = 90.00°. The inequivalent atoms are Ca at (0.000, 0.000, 0.000), Cu at (0.000, 0.500, 0.000), Cu at (0.152, 0.152, 0.594) and Ni at (0.215, 0.215, 0.320).

The energy of formation from the pure elements comes out at 3.29 eV per formula unit.



# 8
This record from Alexandria via LeMat-Bulk describes a relaxed CaCu4Ni2 crystal. The functional is PBE-GGA.

It has space group I4/mmm (No. 139), with a = 7.128 Å, b = 7.128 Å, c = 5.077 Å, α = 90.00°, β = 90.00° and γ = 90.00°. The inequivalent atoms are Ca at (0.000, 0.000, 0.000), Cu at (0.000, 0.229, 0.500) and Ni at (0.000, 0.500, 0.250).

The polymorph energy (0 for the lowest one) is 480 meV per atom. The energy of formation from the pure elements comes out at 2.94 eV per formula unit.